Entry from the Alexandria database: a geometry-optimized Na4Eu2SnP4 structure (GGA-PBEsol).

abc: 9.4180 9.4180 7.0900
angles: 91.23 91.23 119.95
Closest atoms and distances in Å follow each position.
Fractional coordinates of all 22 atoms:
Na 0.0562 0.3407 0.4659  3 P 2.88-2.94
Na 0.0710 0.9290 0.5000  3 P 2.79-3.00
Na 0.1347 0.6728 0.7943  3 P 2.88-3.07
Na 0.3370 0.4873 0.9415  4 P 2.82-3.04
Na 0.3407 0.0562 0.9659  3 P 2.88-2.94
Na 0.4873 0.3370 0.4415  4 P 2.82-3.04
Na 0.6728 0.1347 0.2943  3 P 2.88-3.07
Na 0.9290 0.0710 0.0000  3 P 2.79-3.00
Eu 0.2592 0.7343 0.2882  5 P 2.95-3.17, 1 Sn 3.29
Eu 0.6885 0.7355 0.3049  4 P 2.91-3.19, 1 Sn 3.25
Eu 0.7343 0.2592 0.7882  5 P 2.95-3.17, 1 Sn 3.29
Eu 0.7355 0.6885 0.8049  4 P 2.91-3.19, 1 Sn 3.25
Sn 0.5294 0.8647 0.6771  4 P 2.48-2.56
Sn 0.8647 0.5294 0.1771  4 P 2.48-2.56
P 0.0160 0.8305 0.0887  1 Sn 2.56, 1 Na 2.84
P 0.0224 0.3993 0.0660  1 Sn 2.48
P 0.3970 0.5775 0.5389  1 Sn 2.51
P 0.3993 0.0224 0.5660  1 Sn 2.48
P 0.5384 0.8538 0.0353  1 Sn 2.55
P 0.5775 0.3970 0.0389  1 Sn 2.51
P 0.8305 0.0160 0.5887  1 Sn 2.56, 1 Na 2.84
P 0.8538 0.5384 0.5353  1 Sn 2.55

Summary:
* energy of formation: -0.613 eV per atom
* N(E_F): 22.94 states/eV/f.u.
* space-group type: Cc (9)

---

Entry from the Alexandria database: a geometry-optimized Na4EuSi2Se6 structure (GGA-PBEsol).

abc: 7.0005 7.0005 7.8957
angles: 98.54 98.54 119.84
Closest atoms and distances in Å follow each position.
Fractional coordinates of all 13 atoms:
Na 0.0000 0.0000 0.0000  6 Se 3.05-3.06
Na 0.1654 0.8346 0.5000  6 Se 2.97-3.14
Na 0.4940 0.5060 0.5000  6 Se 2.96-3.09
Na 0.8391 0.1609 0.5000  6 Se 2.98-3.09
Eu 0.3321 0.6679 0.0000  6 Se 3.03-3.04
Si 0.6162 0.2837 0.8456  3 Se 2.29-2.30, 1 Si 2.33
Si 0.7163 0.3838 0.1544  3 Se 2.29-2.30, 1 Si 2.33
Se 0.0608 0.4171 0.2454  1 Si 2.29
Se 0.2740 0.2553 0.7541  1 Si 2.30
Se 0.4375 0.1028 0.2463  1 Si 2.29
Se 0.5829 0.9392 0.7546  1 Si 2.29
Se 0.7447 0.7260 0.2459  1 Si 2.30
Se 0.8972 0.5625 0.7537  1 Si 2.29

Summary:
* N(E_F): 0.08 states/eV/f.u.
* formation energy from raw total energies: -1.06 eV/atom
* space-group type: C2 (5)

---

Entry from the Alexandria database: a geometry-optimized NaEu2Sn structure (GGA-PBEsol).

abc: 5.5458 5.5458 5.5458
angles: 60.00 60.00 60.00
Closest atoms and distances in Å follow each position.
Fractional coordinates of all 4 atoms:
Na 0.0000 0.0000 0.0000  8 Eu 3.40
Eu 0.2500 0.2500 0.2500  4 Sn 3.40, 4 Na 3.40
Eu 0.7500 0.7500 0.7500  4 Sn 3.40, 4 Na 3.40
Sn 0.5000 0.5000 0.5000  8 Eu 3.40

Summary:
* energy of formation: -0.404 eV per atom
* N(E_F): 21.48 states/eV/f.u.
* space-group type: Fm-3m (225)

---

Entry from the Alexandria database: a geometry-optimized NdEu3 structure (GGA-PBEsol).

abc: 7.4330 7.4330 5.9872
angles: 90.00 90.00 120.00
Closest atoms and distances in Å follow each position.
Fractional coordinates of all 8 atoms:
Nd 0.3333 0.6667 0.2500  12 Eu 3.67-3.72
Nd 0.6667 0.3333 0.7500  12 Eu 3.67-3.72
Eu 0.1683 0.3365 0.7500  4 Nd 3.67-3.72, 8 Eu 3.68-3.75
Eu 0.1683 0.8317 0.7500  4 Nd 3.67-3.72, 8 Eu 3.68-3.75
Eu 0.3365 0.1683 0.2500  4 Nd 3.67-3.72, 8 Eu 3.68-3.75
Eu 0.6635 0.8317 0.7500  4 Nd 3.67-3.72, 8 Eu 3.68-3.75
Eu 0.8317 0.1683 0.2500  4 Nd 3.67-3.72, 8 Eu 3.68-3.75
Eu 0.8317 0.6635 0.2500  4 Nd 3.67-3.72, 8 Eu 3.68-3.75

Summary:
* energy of formation: 0.049 eV per atom
* N(E_F): 8.53 states/eV/f.u.
* space-group type: P6_3/mmc (194)

---

Entry from the Alexandria database: a geometry-optimized EuNi5 structure (GGA-PBEsol).

abc: 4.8749 4.8749 3.8890
angles: 90.00 90.00 120.00
Closest atoms and distances in Å follow each position.
Fractional coordinates of all 6 atoms:
Eu 0.0000 0.0000 0.0000  18 Ni 2.81-3.12
Ni 0.0000 0.5000 0.5000  8 Ni 2.40-2.44
Ni 0.3333 0.6667 0.0000  6 Ni 2.40
Ni 0.5000 0.0000 0.5000  8 Ni 2.40-2.44
Ni 0.5000 0.5000 0.5000  8 Ni 2.40-2.44
Ni 0.6667 0.3333 0.0000  6 Ni 2.40

Summary:
* energy of formation: -0.152 eV per atom
* N(E_F): 14.26 states/eV/f.u.
* space-group type: P6/mmm (191)

---

Entry from the Alexandria database: a geometry-optimized EuNiO3 structure (GGA-PBEsol).

abc: 3.7311 3.7311 3.7311
angles: 90.00 90.00 90.00
Closest atoms and distances in Å follow each position.
Fractional coordinates of all 5 atoms:
Eu 0.0000 0.0000 0.0000  12 O 2.64
Ni 0.5000 0.5000 0.5000  6 O 1.87
O 0.0000 0.5000 0.5000  2 Ni 1.87
O 0.5000 0.0000 0.5000  2 Ni 1.87
O 0.5000 0.5000 0.0000  2 Ni 1.87

Summary:
* N(E_F): 6.35 states/eV/f.u.
* formation energy from raw total energies: -1.85 eV/atom
* space-group type: Pm-3m (221)

---

Entry from the Alexandria database: a geometry-optimized Eu2NiO4 structure (GGA-PBEsol).

abc: 6.4967 6.4967 6.4967
angles: 146.41 146.41 48.23
Closest atoms and distances in Å follow each position.
Fractional coordinates of all 7 atoms:
Eu 0.1391 0.1391 0.0000  5 O 2.31-2.50
Eu 0.8609 0.8609 0.0000  5 O 2.31-2.50
Ni 0.5000 0.5000 0.0000  6 O 1.88-1.97
O 0.0000 0.5000 0.5000  2 Ni 1.88
O 0.3336 0.3336 0.0000  1 Ni 1.97
O 0.5000 0.0000 0.5000  2 Ni 1.88
O 0.6664 0.6664 0.0000  1 Ni 1.97

Summary:
* N(E_F): 18.56 states/eV/f.u.
* formation energy from raw total energies: -2.32 eV/atom
* space-group type: I4/mmm (139)

---

Entry from the Alexandria database: a geometry-optimized EuNi2P2 structure (GGA-PBEsol).

abc: 5.4390 5.4390 5.4390
angles: 138.18 138.18 60.63
Closest atoms and distances in Å follow each position.
Fractional coordinates of all 5 atoms:
Eu 0.0000 0.0000 0.0000  8 P 2.99, 8 Ni 3.05
Ni 0.2500 0.7500 0.5000  4 P 2.26
Ni 0.7500 0.2500 0.5000  4 P 2.26
P 0.3742 0.3742 0.0000  4 Ni 2.26, 1 P 2.36
P 0.6258 0.6258 0.0000  4 Ni 2.26, 1 P 2.36

Summary:
* energy of formation: -0.998 eV per atom
* N(E_F): 7.59 states/eV/f.u.
* space-group type: I4/mmm (139)

---

Entry from the Alexandria database: a geometry-optimized EuNiP structure (GGA-PBEsol).

abc: 3.8577 3.8577 4.1433
angles: 90.00 90.00 120.00
Closest atoms and distances in Å follow each position.
Fractional coordinates of all 3 atoms:
Eu 0.0000 0.0000 0.0000  6 Ni 3.04, 6 P 3.04
Ni 0.6667 0.3333 0.5000  3 P 2.23
P 0.3333 0.6667 0.5000  3 Ni 2.23

Summary:
* energy of formation: -1.044 eV per atom
* N(E_F): 8.48 states/eV/f.u.
* space-group type: P-6m2 (187)